[1]
PBE CoBr, optimized geometry; E_form (uncorrected) = 0.299 eV/atom; polymorph energy (0 for the lowest one) = 0.413 eV per atom; SG = No. 216; DFT total energy = -8.18 eV/cell; DOS at the Fermi energy = 0.938 states/eV per atom; magnetic moment = 2.00 μB per formula unit
1.0
0.000 2.780 2.780
2.780 0.000 2.780
2.780 2.780 0.000
Co Br
1 1
Direct
0.000 0.000 0.000
0.250 0.250 0.250

[2]
PBE ZrCu2I2, optimized geometry; E_form (uncorrected) = 0.039 eV/atom; polymorph energy (0 for the lowest one) = 0.000 eV per atom; SG = No. 139; DFT total energy = -19.64 eV/cell; DOS at the Fermi energy = 0.365 states/eV per atom; magnetic moment = 0.13 μB per formula unit
1.0
-1.750 1.750 10.296
1.750 -1.750 10.296
1.750 1.750 -10.296
Zr Cu I
1 2 2
Direct
0.000 0.000 0.000
0.250 0.750 0.500
0.750 0.250 0.500
0.413 0.413 0.000
0.587 0.587 0.000

[3]
PBE Pm4Dy3, optimized geometry; polymorph energy (0 for the lowest one) = 0.000 eV per atom; ΔH_f (0 K) = 0.01 eV/atom; SG = No. 12; DFT total energy = -32.71 eV/cell; DOS at the Fermi energy = 1.331 states/eV per atom; magnetic moment = 0.00 μB per formula unit
1.0
5.688 -2.548 0.000
5.688 2.548 0.000
-1.134 0.000 7.990
Pm Dy
4 3
Direct
0.142 0.142 0.427
0.286 0.286 0.858
0.714 0.714 0.142
0.858 0.858 0.573
0.000 0.000 0.000
0.429 0.429 0.286
0.571 0.571 0.714

[4]
PBE CaHgO2F, optimized geometry; E_form (uncorrected) = -1.112 eV/atom; SG = No. 123; DFT total energy = -19.65 eV/cell; DOS at the Fermi energy = 0.533 states/eV per atom; magnetic moment = 1.14 μB per formula unit
1.0
4.465 0.000 0.000
0.000 4.465 0.000
0.000 0.000 4.276
Ca Hg O F
1 1 2 1
Direct
0.000 0.000 0.000
0.500 0.500 0.500
0.000 0.500 0.000
0.500 0.000 0.000
0.000 0.000 0.500

[5]
PBE Sc3Ga6Ni5, optimized geometry; ΔH_f (0 K) = -0.58 eV/atom; SG = No. 59; DFT total energy = -148.43 eV/cell; DOS at the Fermi energy = 0.537 states/eV per atom; magnetic moment = 0.00 μB per formula unit
1.0
4.043 0.000 0.000
0.000 11.874 0.000
0.000 0.000 8.749
Sc Ga Ni
6 12 10
Direct
0.250 0.044 0.249
0.250 0.456 0.249
0.250 0.750 0.266
0.750 0.250 0.734
0.750 0.544 0.751
0.750 0.956 0.751
0.250 0.072 0.589
0.250 0.250 0.049
0.250 0.250 0.405
0.250 0.428 0.589
0.250 0.594 0.979
0.250 0.906 0.979
0.750 0.094 0.021
0.750 0.406 0.021
0.750 0.572 0.411
0.750 0.750 0.595
0.750 0.750 0.951
0.750 0.928 0.411
0.250 0.100 0.862
0.250 0.400 0.862
0.250 0.637 0.542
0.250 0.750 0.782
0.250 0.863 0.542
0.750 0.137 0.458
0.750 0.250 0.218
0.750 0.363 0.458
0.750 0.600 0.138
0.750 0.900 0.138

[6]
PBE Mg6ZrSc, optimized geometry; ΔH_f (0 K) = -0.01 eV/atom; SG = No. 123; DFT total energy = -24.51 eV/cell; DOS at the Fermi energy = 0.867 states/eV per atom; magnetic moment = 0.00 μB per formula unit
1.0
4.523 0.000 0.000
0.000 4.523 0.000
0.000 0.000 8.796
Mg Zr Sc
6 1 1
Direct
0.000 0.000 0.000
0.000 0.000 0.500
0.000 0.500 0.246
0.000 0.500 0.754
0.500 0.000 0.246
0.500 0.000 0.754
0.500 0.500 0.000
0.500 0.500 0.500

[7]
PBE Sn2TeS, optimized geometry; E_form (uncorrected) = -0.044 eV/atom; polymorph energy (0 for the lowest one) = 0.280 eV per atom; SG = No. 225; DFT total energy = -15.45 eV/cell; DOS at the Fermi energy = 0.570 states/eV per atom; magnetic moment = 0.00 μB per formula unit
1.0
0.000 3.721 3.721
3.721 0.000 3.721
3.721 3.721 0.000
Sn Te S
2 1 1
Direct
0.250 0.250 0.250
0.750 0.750 0.750
0.000 0.000 0.000
0.500 0.500 0.500

[8]
PBE Nd4Tm4Th, optimized geometry; polymorph energy (0 for the lowest one) = 0.000 eV per atom; ΔH_f (0 K) = 0.03 eV/atom; SG = No. 139; DFT total energy = -44.11 eV/cell; DOS at the Fermi energy = 1.437 states/eV per atom; magnetic moment = 0.00 μB per formula unit
1.0
-5.396 5.396 2.517
5.396 -5.396 2.517
5.396 5.396 -2.517
Nd Tm Th
4 4 1
Direct
0.000 0.328 0.328
0.000 0.672 0.672
0.328 0.000 0.328
0.672 0.000 0.672
0.336 0.336 0.673
0.336 0.664 0.000
0.664 0.336 0.000
0.664 0.664 0.327
0.000 0.000 0.000

[9]
PBE Rb2SiI7, optimized geometry; E_form (uncorrected) = -0.602 eV/atom; SG = No. 139; DFT total energy = -24.23 eV/cell; DOS at the Fermi energy = 0.540 states/eV per atom; magnetic moment = 0.00 μB per formula unit
1.0
-4.349 4.349 6.015
4.349 -4.349 6.015
4.349 4.349 -6.015
Rb Si I
2 1 7
Direct
0.250 0.750 0.500
0.750 0.250 0.500
0.000 0.000 0.000
0.222 0.222 0.444
0.222 0.778 0.000
0.228 0.228 0.000
0.500 0.500 0.000
0.772 0.772 0.000
0.778 0.222 0.000
0.778 0.778 0.556

[10]
PBE Zr2VNi, optimized geometry; polymorph energy (0 for the lowest one) = 0.621 eV per atom; ΔH_f (0 K) = 0.50 eV/atom; SG = No. 166; DFT total energy = -29.98 eV/cell; DOS at the Fermi energy = 1.222 states/eV per atom; magnetic moment = 0.72 μB per formula unit
1.0
1.457 0.841 9.950
-1.457 0.841 9.950
0.000 -1.682 9.950
Zr V Ni
2 1 1
Direct
0.084 0.084 0.084
0.916 0.916 0.916
0.500 0.500 0.500
0.000 0.000 0.000

[11]
PBE CeSnAu3, optimized geometry; polymorph energy (0 for the lowest one) = 0.000 eV per atom; ΔH_f (0 K) = -0.48 eV/atom; SG = No. 63; DFT total energy = -44.32 eV/cell; DOS at the Fermi energy = 1.382 states/eV per atom; magnetic moment = 0.78 μB per formula unit
1.0
1.768 -13.638 0.000
1.768 13.638 0.000
0.000 0.000 4.734
Ce Sn Au
2 2 6
Direct
0.076 0.924 0.750
0.924 0.076 0.250
0.209 0.791 0.250
0.791 0.209 0.750
0.315 0.685 0.250
0.374 0.626 0.750
0.475 0.525 0.750
0.525 0.475 0.250
0.626 0.374 0.250
0.685 0.315 0.750

[12]
PBE YSe2Br, optimized geometry; E_form (uncorrected) = -0.978 eV/atom; polymorph energy (0 for the lowest one) = 0.285 eV per atom; SG = No. 6; DFT total energy = -19.02 eV/cell; magnetic moment = 0.00 μB per formula unit
1.0
4.891 0.000 0.000
0.000 5.738 0.000
-2.340 0.000 4.311
Y Se Br
1 2 1
Direct
0.000 0.000 0.000
0.039 0.500 0.130
0.660 0.000 0.343
0.211 0.500 0.712

[13]
PBE Sm2CrN4, optimized geometry; E_form (uncorrected) = -0.884 eV/atom; polymorph energy (0 for the lowest one) = 0.218 eV per atom; SG = No. 139; DFT total energy = -58.55 eV/cell; DOS at the Fermi energy = 0.381 states/eV per atom; magnetic moment = 0.00 μB per formula unit
1.0
-1.855 1.855 6.304
1.855 -1.855 6.304
1.855 1.855 -6.304
Sm Cr N
2 1 4
Direct
0.146 0.146 0.000
0.854 0.854 0.000
0.500 0.500 0.000
0.000 0.500 0.500
0.334 0.334 0.000
0.500 0.000 0.500
0.666 0.666 0.000